PBE-GGA Na2Tl2Pt, relaxed; formation enthalpy at 0 K = -0.093 eV per atom; VASP energy = -27.75 eV/cell
1.0
7.2294 0.0000 0.0000
0.0000 7.2294 0.0000
0.0000 0.0000 5.1271
Na Tl Pt
4 4 2
Cartesian
1.2589 2.3558 0.0000 Na
2.3558 5.9705 0.0000 Na
4.8736 1.2589 0.0000 Na
5.9705 4.8736 0.0000 Na
1.0862 4.7009 2.5636 Tl
2.5285 1.0862 2.5636 Tl
4.7009 6.1432 2.5636 Tl
6.1432 2.5285 2.5636 Tl
0.0000 0.0000 2.5636 Pt
3.6147 3.6147 2.5636 Pt